No. 1
CePmCdGe | PBE-GGA | optimized geometry

The structure in POSCAR format:
```
CePmCdGe
1.0
0.000 3.728 3.728
3.728 0.000 3.728
3.728 3.728 0.000
Ce Pm Cd Ge
1 1 1 1
Direct
0.000 0.000 0.000
0.500 0.500 0.500
0.750 0.750 0.750
0.250 0.250 0.250
```

Calculated values
- Total magnetic moment: 1.00 μB/cell
- ΔE_f: -40 kJ per mole of atoms
- Uncorrected energy: -17.89 eV for the cell shown

---

No. 2
CeCdGePt | PBE-GGA | optimized geometry

The structure in POSCAR format:
```
CeCdGePt
1.0
0.000 3.468 3.468
3.468 0.000 3.468
3.468 3.468 0.000
Ce Cd Ge Pt
1 1 1 1
Direct
0.000 0.000 0.000
0.500 0.500 0.500
0.250 0.250 0.250
0.750 0.750 0.750
```

Calculated values
- Total magnetic moment: 0.32 μB/cell
- ΔE_f: -54 kJ per mole of atoms
- Uncorrected energy: -19.74 eV for the cell shown

---

No. 3
CeCdGe2Rh5 | PBE-GGA | optimized geometry

The structure in POSCAR format:
```
CeCdGe2Rh5
1.0
4.173 0.000 0.000
0.000 4.173 0.000
0.000 0.000 8.923
Ce Cd Ge Rh
1 1 2 5
Direct
0.000 0.000 0.000
0.000 0.000 0.500
0.500 0.500 0.363
0.500 0.500 0.637
0.000 0.500 0.227
0.000 0.500 0.773
0.500 0.000 0.227
0.500 0.000 0.773
0.500 0.500 0.000
```

Calculated values
- Total magnetic moment: 0.00 μB/cell
- ΔE_f: -44 kJ per mole of atoms
- Uncorrected energy: -56.93 eV for the cell shown